## La2TbZrN4 (PBE-GGA)

Data for a relaxed La2TbZrN4 crystal.

The structure belongs to space group P2/m (No. 10); the cell edges are 6.0870, 3.5097 and 6.2214 Å and the angles 90.00°, 108.87° and 90.00°. Symmetry generates all atoms from La at (0.0000, 0.0000, 0.0000), La at (0.5000, 0.5000, 0.0000), Tb at (0.0000, 0.5000, 0.5000), Zr at (0.5000, 0.0000, 0.5000), N at (0.2561, 0.0000, 0.7228) and N at (0.2715, 0.5000, 0.2813).

Its raw formation energy is -11.969 eV per formula unit. Its total energy is -68.303 eV per cell. As for the crystal system: monoclinic.